Hf6TiSb2: relaxed, PBE.

abc: 7.4554 7.4554 10.5466
angles: 122.73 122.73 24.19
Fractional positions:
Hf1 0.0540 0.0540 0.2515
Hf2 0.2227 0.2227 0.5964
Hf3 0.3781 0.3781 0.9447
Hf4 0.6219 0.6219 0.0553
Hf5 0.7773 0.7773 0.4036
Hf6 0.9460 0.9460 0.7485
Ti1 0.0000 0.0000 0.5000
Sb1 0.3538 0.3538 0.2191
Sb2 0.6462 0.6462 0.7809

Results
theoretical density = 11305 kg/m3
total magnetization = 0.4 μB per formula unit
E_form (uncorrected) = -75 kJ/mol of formula units
calculated volume = 22.23 A^3/atom
E = -8.52 eV/atom



HfTi2Sb2: relaxed, PBE.

abc: 7.0979 7.0979 5.3657
angles: 110.11 110.11 102.25
Fractional positions:
Hf1 0.0820 0.9180 0.7500
Hf2 0.9180 0.0820 0.2500
Ti1 0.2421 0.3943 0.0357
Ti2 0.3943 0.2421 0.5357
Ti3 0.6057 0.7579 0.4643
Ti4 0.7579 0.6057 0.9643
Sb1 0.1935 0.8065 0.2500
Sb2 0.3576 0.6424 0.7500
Sb3 0.6424 0.3576 0.2500
Sb4 0.8065 0.1935 0.7500

Results
theoretical density = 7780 kg/m3
relative energy among the computed polymorphs = 199.0 meV per atom
total magnetization = 0.0 μB per formula unit
E_form (uncorrected) = -102 kJ/mol of formula units
calculated volume = 22.10 A^3/atom
E = -7.01 eV/atom



HfTiSb: relaxed, PBE.

abc: 5.7698 3.5661 6.6656
angles: 90.00 105.67 90.00
Fractional positions:
Hf1 0.1920 0.2500 0.4476
Hf2 0.8080 0.7500 0.5524
Ti1 0.1185 0.2500 0.8849
Ti2 0.8815 0.7500 0.1151
Sb1 0.3977 0.7500 0.1866
Sb2 0.6023 0.2500 0.8134

Results
theoretical density = 8755 kg/m3
total magnetization = 0.0 μB per formula unit
E_form (uncorrected) = -82 kJ/mol of formula units
calculated volume = 22.01 A^3/atom
E = -7.61 eV/atom



Hf5TiSb4: relaxed, PBE.

abc: 8.5304 9.0015 6.4312
angles: 90.00 90.00 90.00
Fractional positions:
Hf1 0.0501 0.0690 0.2345
Hf2 0.0501 0.4310 0.2345
Hf3 0.2500 0.2500 0.5748
Hf4 0.4499 0.0690 0.2345
Hf5 0.4499 0.4310 0.2345
Hf6 0.5501 0.5690 0.7655
Hf7 0.5501 0.9310 0.7655
Hf8 0.7500 0.7500 0.4252
Hf9 0.9499 0.5690 0.7655
Hf10 0.9499 0.9310 0.7655
Ti1 0.2500 0.7500 0.8833
Ti2 0.7500 0.2500 0.1167
Sb1 0.9997 0.2500 0.8608
Sb2 0.0003 0.7500 0.1392
Sb3 0.2500 0.5701 0.5428
Sb4 0.2500 0.9299 0.5428
Sb5 0.5003 0.2500 0.8608
Sb6 0.4997 0.7500 0.1392
Sb7 0.7500 0.0701 0.4572
Sb8 0.7500 0.4299 0.4572

Results
theoretical density = 9599 kg/m3
total magnetization = 0.0 μB per formula unit
E_form (uncorrected) = -101 kJ/mol of formula units
calculated volume = 24.69 A^3/atom
E = -7.52 eV/atom



HfTi2TlSb: relaxed, PBE.

abc: 4.9593 4.9593 5.4820
angles: 90.00 90.00 90.00
Fractional positions:
Hf1 0.0000 0.0000 0.0000
Ti1 0.0000 0.5000 0.0000
Ti2 0.5000 0.0000 0.0000
Tl1 0.0000 0.0000 0.5000
Sb1 0.5000 0.5000 0.5000

Results
theoretical density = 7394 kg/m3
total magnetization = 0.0 μB per formula unit
E_form (uncorrected) = 498 kJ/mol of formula units
calculated volume = 26.97 A^3/atom
E = -5.41 eV/atom



Hf6TlSb3: relaxed, PBE.

abc: 8.4286 8.4286 7.3153
angles: 90.00 90.00 112.97
Fractional positions:
Hf1 0.0214 0.4484 0.0161
Hf2 0.0476 0.9524 0.5000
Hf3 0.2395 0.3791 0.3287
Hf4 0.2602 0.7398 0.2552
Hf5 0.3791 0.2395 0.8287
Hf6 0.4484 0.0214 0.5161
Hf7 0.5516 0.9786 0.0161
Hf8 0.6209 0.7605 0.3287
Hf9 0.7398 0.2602 0.7552
Hf10 0.7605 0.6209 0.8287
Hf11 0.9524 0.0476 0.0000
Hf12 0.9786 0.5516 0.5161
Tl1 0.1880 0.8120 0.8077
Tl2 0.8120 0.1880 0.3077
Sb1 0.0928 0.2952 0.6835
Sb2 0.2952 0.0928 0.1835
Sb3 0.4260 0.5740 0.0036
Sb4 0.5740 0.4260 0.5036
Sb5 0.7048 0.9072 0.6835
Sb6 0.9072 0.7048 0.1835

Results
theoretical density = 11388 kg/m3
total magnetization = 0.0 μB per formula unit
E_form (uncorrected) = -180 kJ/mol of formula units
calculated volume = 23.92 A^3/atom
E = -7.63 eV/atom



Hf6TlSb2: relaxed, PBE.

abc: 5.5192 8.1424 10.5947
angles: 90.00 119.99 90.00
Fractional positions:
Hf1 0.0043 0.1949 0.4313
Hf2 0.0043 0.3051 0.9313
Hf3 0.2868 0.0335 0.1829
Hf4 0.2868 0.4665 0.6829
Hf5 0.3507 0.6583 0.4490
Hf6 0.3507 0.8417 0.9490
Hf7 0.6493 0.1583 0.0510
Hf8 0.6493 0.3417 0.5510
Hf9 0.7132 0.5335 0.3171
Hf10 0.7132 0.9665 0.8171
Hf11 0.9957 0.6949 0.0687
Hf12 0.9957 0.8051 0.5687
Tl1 0.5000 0.0000 0.5000
Tl2 0.5000 0.5000 0.0000
Sb1 0.1480 0.1182 0.7384
Sb2 0.1480 0.3818 0.2384
Sb3 0.8520 0.6182 0.7616
Sb4 0.8520 0.8818 0.2616

Results
theoretical density = 12232 kg/m3
total magnetization = 0.0 μB per formula unit
E_form (uncorrected) = -109 kJ/mol of formula units
calculated volume = 22.91 A^3/atom
E = -7.94 eV/atom



HfTlSbW2: relaxed, PBE.

abc: 5.0213 5.0213 5.4256
angles: 90.00 90.00 90.00
Fractional positions:
Hf1 0.0000 0.0000 0.0000
Tl1 0.5000 0.5000 0.5000
Sb1 0.0000 0.0000 0.5000
W1 0.0000 0.5000 0.0000
W2 0.5000 0.0000 0.0000

Results
theoretical density = 10589 kg/m3
total magnetization = 2.9 μB per formula unit
E_form (uncorrected) = 946 kJ/mol of formula units
calculated volume = 27.36 A^3/atom
E = -6.51 eV/atom